Density functional theory data (PBE) for BaCrP after structural relaxation.

The density is 4.15 Mg/m³. The value obtained for the formation energy is -1 kJ per mole of atoms. As for the crystal system: cubic. The total energy comes out at -5.663 eV/atom. The calculation puts the total moment at 20.0 μB per cell.

Lattice parameters (Å, degrees): 7.0619 7.0619 7.0619 90.00 90.00 90.00
Last column: nearest neighbours and their distance in Å.
Atoms (fractional coordinates):
Ba (0.0000, 0.0000, 0.0000)  4 P 3.06
Ba (0.0000, 0.5000, 0.5000)  4 P 3.06
Ba (0.5000, 0.0000, 0.5000)  4 P 3.06
Ba (0.5000, 0.5000, 0.0000)  4 P 3.06
Cr (0.0000, 0.0000, 0.5000)  4 P 3.06
Cr (0.0000, 0.5000, 0.0000)  4 P 3.06
Cr (0.5000, 0.0000, 0.0000)  4 P 3.06
Cr (0.5000, 0.5000, 0.5000)  4 P 3.06
P (0.2500, 0.2500, 0.2500)  4 Cr 3.06, 4 Ba 3.06
P (0.2500, 0.7500, 0.7500)  4 Cr 3.06, 4 Ba 3.06
P (0.7500, 0.2500, 0.7500)  4 Cr 3.06, 4 Ba 3.06
P (0.7500, 0.7500, 0.2500)  4 Cr 3.06, 4 Ba 3.06

=====

Density functional theory data (PBE) for Sm3Co4Sn13 after structural relaxation.

The density is 8.37 Mg/m³. The value obtained for the formation energy is -35 kJ per mole of atoms. As for the crystal system: cubic. The total energy comes out at -5.091 eV/atom. The calculation puts the total moment at 0.0 μB per cell.

Lattice parameters (Å, degrees): 9.6014 9.6014 9.6014 90.00 90.00 90.00
Last column: nearest neighbours and their distance in Å.
Atoms (fractional coordinates):
Sm (0.0000, 0.2500, 0.5000)  12 Sn 3.32-3.41, 4 Co 3.39
Sm (0.0000, 0.7500, 0.5000)  12 Sn 3.32-3.41, 4 Co 3.39
Sm (0.2500, 0.5000, 0.0000)  12 Sn 3.32-3.41, 4 Co 3.39
Sm (0.5000, 0.0000, 0.2500)  12 Sn 3.32-3.41, 4 Co 3.39
Sm (0.5000, 0.0000, 0.7500)  12 Sn 3.32-3.41, 4 Co 3.39
Sm (0.7500, 0.5000, 0.0000)  12 Sn 3.32-3.41, 4 Co 3.39
Co (0.2500, 0.2500, 0.2500)  6 Sn 2.61
Co (0.2500, 0.2500, 0.7500)  6 Sn 2.61
Co (0.2500, 0.7500, 0.2500)  6 Sn 2.61
Co (0.2500, 0.7500, 0.7500)  6 Sn 2.61
Co (0.7500, 0.2500, 0.2500)  6 Sn 2.61
Co (0.7500, 0.2500, 0.7500)  6 Sn 2.61
Co (0.7500, 0.7500, 0.2500)  6 Sn 2.61
Co (0.7500, 0.7500, 0.7500)  6 Sn 2.61
Sn (0.0000, 0.0000, 0.0000)  12 Sn 3.28
Sn (0.0000, 0.3029, 0.1578)  2 Co 2.61
Sn (0.0000, 0.3029, 0.8422)  2 Co 2.61
Sn (0.0000, 0.6971, 0.1578)  2 Co 2.61
Sn (0.0000, 0.6971, 0.8422)  2 Co 2.61
Sn (0.1578, 0.0000, 0.3029)  2 Co 2.61
Sn (0.1578, 0.0000, 0.6971)  2 Co 2.61
Sn (0.1971, 0.5000, 0.3422)  2 Co 2.61
Sn (0.1971, 0.5000, 0.6578)  2 Co 2.61
Sn (0.3029, 0.1578, 0.0000)  2 Co 2.61
Sn (0.3029, 0.8422, 0.0000)  2 Co 2.61
Sn (0.3422, 0.1971, 0.5000)  2 Co 2.61
Sn (0.3422, 0.8029, 0.5000)  2 Co 2.61
Sn (0.5000, 0.3422, 0.1971)  2 Co 2.61
Sn (0.5000, 0.3422, 0.8029)  2 Co 2.61
Sn (0.5000, 0.5000, 0.5000)  12 Sn 3.28
Sn (0.5000, 0.6578, 0.1971)  2 Co 2.61
Sn (0.5000, 0.6578, 0.8029)  2 Co 2.61
Sn (0.6578, 0.1971, 0.5000)  2 Co 2.61
Sn (0.6578, 0.8029, 0.5000)  2 Co 2.61
Sn (0.6971, 0.1578, 0.0000)  2 Co 2.61
Sn (0.6971, 0.8422, 0.0000)  2 Co 2.61
Sn (0.8029, 0.5000, 0.3422)  2 Co 2.61
Sn (0.8029, 0.5000, 0.6578)  2 Co 2.61
Sn (0.8422, 0.0000, 0.3029)  2 Co 2.61
Sn (0.8422, 0.0000, 0.6971)  2 Co 2.61

=====

Density functional theory data (PBE) for Pd2PtAu9 after structural relaxation.

The density is 17.42 Mg/m³. The value obtained for the formation energy is -3 kJ per mole of atoms. As for the crystal system: tetragonal. The total energy comes out at -3.860 eV/atom. The calculation puts the total moment at 0.0 μB per cell.

Lattice parameters (Å, degrees): 4.1048 4.1048 12.3394 90.00 90.00 90.00
Last column: nearest neighbours and their distance in Å.
Atoms (fractional coordinates):
Pd (0.0000, 0.0000, 0.1667)  12 Au 2.90-2.91
Pd (0.0000, 0.0000, 0.8333)  12 Au 2.90-2.91
Pt (0.0000, 0.0000, 0.5000)  12 Au 2.90-2.91
Au (0.0000, 0.5000, 0.0000)  8 Au 2.90, 4 Pd 2.91
Au (0.0000, 0.5000, 0.3329)  2 Pd 2.90, 8 Au 2.90-2.91, 2 Pt 2.91
Au (0.0000, 0.5000, 0.6671)  2 Pd 2.90, 8 Au 2.90-2.91, 2 Pt 2.91
Au (0.5000, 0.0000, 0.0000)  8 Au 2.90, 4 Pd 2.91
Au (0.5000, 0.0000, 0.3329)  2 Pd 2.90, 8 Au 2.90-2.91, 2 Pt 2.91
Au (0.5000, 0.0000, 0.6671)  2 Pd 2.90, 8 Au 2.90-2.91, 2 Pt 2.91
Au (0.5000, 0.5000, 0.1663)  8 Au 2.90-2.91, 4 Pd 2.90
Au (0.5000, 0.5000, 0.5000)  4 Pt 2.90, 8 Au 2.91
Au (0.5000, 0.5000, 0.8337)  8 Au 2.90-2.91, 4 Pd 2.90